{
  "formula": "KYIn3",
  "functional": "PBE-GGA",
  "state": "relaxed",
  "cell": [[-4.039, -4.143, -1.465], [2.162, -0.142, -5.562], [3.826, -4.294, 1.597]],
  "species": ["In", "In", "In", "Y", "K"],
  "frac_coords": [[0.000, 0.000, 0.500], [0.500, 0.000, 0.000], [0.000, 0.500, 0.000], [0.000, 0.000, 0.000], [0.500, 0.500, 0.500]],
  "sg": "Pm-3m",
  "relative_energy_mev_per_atom": 0
}

---

{
  "formula": "K3CuPt",
  "functional": "PBE-GGA",
  "state": "relaxed",
  "cell": [[6.041, 0.000, 0.000], [0.000, 6.041, 0.000], [0.000, 0.000, 6.041]],
  "species": ["Pt", "K", "K", "K", "Cu"],
  "frac_coords": [[0.000, 0.000, 0.000], [0.000, 0.000, 0.500], [0.500, 0.000, 0.000], [0.000, 0.500, 0.000], [0.500, 0.500, 0.500]],
  "sg": "Pm-3m",
  "relative_energy_mev_per_atom": 0
}

---

{
  "formula": "La15PmPr4",
  "functional": "PBE-GGA",
  "state": "relaxed",
  "cell": [[-1.564, 5.012, 0.094], [-0.168, 0.046, -5.248], [-25.177, -7.871, 0.734]],
  "species": ["La", "La", "La", "La", "La", "La", "La", "La", "La", "La", "La", "La", "La", "La", "La", "Pr", "Pr", "Pr", "Pr", "Pm"],
  "frac_coords": [[0.500, 0.500, 0.400], [0.500, 0.000, 0.500], [0.000, 0.500, 0.500], [0.500, 0.000, 0.100], [0.500, 0.500, 0.200], [0.000, 0.500, 0.300], [0.000, 0.500, 0.100], [0.500, 0.000, 0.900], [0.500, 0.500, 0.600], [0.500, 0.000, 0.300], [0.500, 0.500, 0.000], [0.000, 0.500, 0.900], [0.500, 0.000, 0.700], [0.000, 0.500, 0.700], [0.500, 0.500, 0.800], [0.000, 0.000, 0.400], [0.000, 0.000, 0.200], [0.000, 0.000, 0.800], [0.000, 0.000, 0.600], [0.000, 0.000, 0.000]],
  "sg": "P4/mmm",
  "energy_ev_per_atom": -4.8803
}

---

The DOS(E_F) results, record by record, are as follows: 1.350, 0.000, 1.834 states/eV/atom.